Record 1
5
Lattice="5.0658 0.0000 0.0000 0.0000 5.0658 0.0000 0.0000 0.0000 5.0658" Properties=species:S:1:pos:R:3 comment="KIn3N | Alexandria via LeMat-Bulk | PBE-GGA | relaxed" crystal_system=cubic spacegroup="Pm-3m (221)" de_polymorph_mev_per_atom=0.0 raw_formation_energy_ev_per_atom=0.5215 magmom_total_mub_per_atom=0.0373 pbc="T T T"
K 0.0000 0.0000 0.0000
In 0.0000 2.5329 2.5329
In 2.5329 0.0000 2.5329
In 2.5329 2.5329 0.0000
N 2.5329 2.5329 2.5329

Record 2
6
Lattice="5.9268 0.0000 0.0000 0.0000 3.5780 0.0000 -0.8009 0.0000 6.5428" Properties=species:S:1:pos:R:3 comment="KInN | Alexandria via LeMat-Bulk | PBE-GGA | relaxed" crystal_system=monoclinic spacegroup="Pm (6)" de_polymorph_mev_per_atom=254.8 raw_formation_energy_ev_per_atom=0.1847 magmom_total_mub_per_atom=0.0000 pbc="T T T"
K 0.0000 0.0000 0.0000
K 2.6351 1.7890 1.7863
In -0.2654 1.7890 3.4954
In 2.4068 0.0000 4.8563
N 0.8196 0.0000 2.8781
N 3.7765 1.7890 4.4520

Record 3
12
Lattice="4.3790 0.0000 0.0000 0.0000 3.5726 0.0000 0.0000 0.0000 17.4993" Properties=species:S:1:pos:R:3 comment="KInN | Alexandria via LeMat-Bulk | PBE-GGA | relaxed" crystal_system=orthorhombic spacegroup="Amm2 (38)" de_polymorph_mev_per_atom=381.8 raw_formation_energy_ev_per_atom=0.3118 magmom_total_mub_per_atom=0.0001 pbc="T T T"
K 0.0000 0.0000 0.0000
K 0.0000 1.7863 8.7497
K 2.1895 0.0000 6.6044
K 2.1895 1.7863 15.3540
In 0.0000 0.0000 13.0324
In 0.0000 1.7863 4.2828
In 2.1895 0.0000 2.0299
In 2.1895 1.7863 10.7795
N 0.0000 0.0000 3.0210
N 0.0000 1.7863 11.7707
N 2.1895 0.0000 9.5126
N 2.1895 1.7863 0.7629

Record 4
6
Lattice="5.7157 0.0000 0.0000 0.0000 3.6319 0.0000 -0.3962 0.0000 6.6234" Properties=species:S:1:pos:R:3 comment="KInN | Alexandria via LeMat-Bulk | PBE-GGA | relaxed" crystal_system=monoclinic spacegroup="P2_1/m (11)" de_polymorph_mev_per_atom=274.2 raw_formation_energy_ev_per_atom=0.2042 magmom_total_mub_per_atom=0.0000 pbc="T T T"
K 1.2778 0.9080 0.7317
K 4.0417 2.7239 5.8917
In 1.0124 2.7239 3.7609
In 4.3071 0.9080 2.8624
N 0.0280 0.9080 4.6570
N 5.2916 2.7239 1.9664